DFT (PBEsol) results for a geometry-optimized AlGaSCl2 structure.

Values from the calculation:
Energy relative to the elements, uncorrected: -358 meV per atom

Unit cell a=4.6826 b=4.7918 c=4.7918 alpha=90.00 beta=90.00 gamma=90.00
Sites, in units of the cell vectors:
S 0.5000 0.0000 0.0000
Al 0.5000 0.5000 0.5000
Ga 0.0000 0.0000 0.0000
Cl 0.0000 0.0000 0.5000
Cl 0.0000 0.5000 0.0000